Material: Cs4SCl2
Method: DFT, PBE
State: optimized geometry

Values from the calculation:
Polymorph energy (0 for the lowest one) in meV/atom: 129
Energy relative to the elements, uncorrected in eV per atom: -1.392
Crystal system: tetragonal

a b c (Å): 6.598 6.598 10.272
angles (deg): 71.27 71.27 90.00
Atoms (fractional coordinates):
Cs: 0.500 0.000 0.000
Cl: 0.363 0.363 0.274
S: 0.000 0.000 0.000
Cs: 0.178 0.178 0.643
Cs: 0.000 0.500 0.000
Cl: 0.637 0.637 0.726
Cs: 0.822 0.822 0.357

---

Material: KTlMoCl6
Method: DFT, PBE
State: optimized geometry

Values from the calculation:
Energy relative to the elements, uncorrected in eV per atom: -1.152
Crystal system: trigonal

a b c (Å): 7.530 7.530 12.008
angles (deg): 90.00 90.00 120.00
Site moments in Bohr magnetons follow the coordinates.
Atoms (fractional coordinates):
Cl: 0.593 0.666 0.634  0.01
Cl: 0.334 0.407 0.866  0.01
Mo: 0.333 0.667 0.750  1.68
K: 0.333 0.667 0.250  0.00
Cl: 0.073 0.666 0.866  0.01
Cl: 0.927 0.334 0.134  0.01
Cl: 0.666 0.073 0.366  0.01
Tl: 0.000 0.000 0.000  0.00
Cl: 0.666 0.593 0.134  0.01
Cl: 0.073 0.407 0.634  0.01
Cl: 0.407 0.073 0.134  0.01
Cl: 0.334 0.927 0.634  0.01
Cl: 0.407 0.334 0.366  0.01
Cl: 0.593 0.927 0.866  0.01
Cl: 0.927 0.593 0.366  0.01
Tl: 0.000 0.000 0.500  0.00
K: 0.667 0.333 0.750  0.00
Mo: 0.667 0.333 0.250  1.68

---

Material: SrSb5
Method: DFT, PBE
State: optimized geometry

Values from the calculation:
Polymorph energy (0 for the lowest one) in meV/atom: 0
Energy relative to the elements, uncorrected in eV per atom: -0.249
Crystal system: monoclinic

a b c (Å): 7.260 7.260 6.659
angles (deg): 112.87 112.87 35.60
Atoms (fractional coordinates):
Sb: 0.968 0.968 0.504
Sb: 0.634 0.634 0.164
Sr: 0.306 0.306 0.056
Sb: 0.977 0.977 0.947
Sb: 0.305 0.305 0.556
Sb: 0.643 0.643 0.607

---

Material: Sr2CeCu2S6
Method: DFT, PBE
State: optimized geometry

Values from the calculation:
Energy relative to the elements, uncorrected in eV per atom: -1.074
Crystal system: trigonal

a b c (Å): 7.069 7.069 7.995
angles (deg): 63.77 63.77 60.00
Atoms (fractional coordinates):
Ce: 0.000 0.000 0.000
Sr: 0.205 0.205 0.384
S: 0.221 0.751 0.278
S: 0.249 0.249 0.722
Sr: 0.795 0.795 0.616
S: 0.249 0.779 0.722
S: 0.779 0.249 0.722
S: 0.751 0.221 0.278
S: 0.751 0.751 0.278
Cu: 0.574 0.574 0.278
Cu: 0.426 0.426 0.722

---

Material: BaGdPb2
Method: DFT, PBE
State: optimized geometry

Values from the calculation:
Polymorph energy (0 for the lowest one) in meV/atom: 110
Crystal system: cubic
ΔH_f (0 K) in meV/atom: -386

a b c (Å): 5.789 5.789 5.789
angles (deg): 60.00 60.00 60.00
Site moments in Bohr magnetons follow the coordinates.
Atoms (fractional coordinates):
Pb: 0.250 0.250 0.250  -0.02
Pb: 0.750 0.750 0.750  -0.02
Gd: 0.000 0.000 0.000  6.98
Ba: 0.500 0.500 0.500  0.01

---

Material: Ba2YRu3O12
Method: DFT, PBE
State: optimized geometry

Values from the calculation:
Energy relative to the elements, uncorrected in eV per atom: -1.616
Crystal system: trigonal

a b c (Å): 7.035 7.035 7.035
angles (deg): 62.80 62.80 62.80
Site moments in Bohr magnetons follow the coordinates.
Atoms (fractional coordinates):
Ru: 0.500 0.000 0.000  0.38
Ru: 0.000 0.000 0.500  0.38
O: 0.118 0.118 0.607  0.08
O: 0.292 0.292 0.906  0.02
O: 0.393 0.882 0.882  0.08
Ru: 0.000 0.500 0.000  0.38
O: 0.882 0.393 0.882  0.08
Ba: 0.621 0.621 0.621  0.01
O: 0.292 0.906 0.292  0.02
Y: 0.000 0.000 0.000  0.02
O: 0.882 0.882 0.393  0.08
O: 0.708 0.708 0.094  0.02
O: 0.118 0.607 0.118  0.08
O: 0.708 0.094 0.708  0.02
Ba: 0.379 0.379 0.379  0.01
O: 0.094 0.708 0.708  0.02
O: 0.906 0.292 0.292  0.02
O: 0.607 0.118 0.118  0.08

---

Material: LaAu2Cl
Method: DFT, PBE
State: optimized geometry

Values from the calculation:
Polymorph energy (0 for the lowest one) in meV/atom: 89
Energy relative to the elements, uncorrected in eV per atom: -0.924
Crystal system: tetragonal

a b c (Å): 8.687 8.687 6.740
angles (deg): 49.88 49.88 90.00
Atoms (fractional coordinates):
Au: 0.875 0.882 0.750
Cl: 0.500 0.500 0.000
La: 0.000 0.000 0.000
Au: 0.632 0.125 0.250
La: 0.750 0.250 0.500
Au: 0.375 0.368 0.750
Au: 0.118 0.625 0.250
Cl: 0.250 0.750 0.500

---

Material: Cd5InHg
Method: DFT, PBE
State: optimized geometry

Values from the calculation:
Polymorph energy (0 for the lowest one) in meV/atom: 9
Crystal system: monoclinic
ΔH_f (0 K) in meV/atom: 47

a b c (Å): 6.256 6.256 10.394
angles (deg): 67.46 67.46 85.93
Atoms (fractional coordinates):
Cd: 0.386 0.043 0.150
Cd: 0.222 0.529 0.050
Cd: 0.177 0.823 0.750
Cd: 0.778 0.471 0.950
Cd: 0.529 0.222 0.550
Cd: 0.614 0.957 0.850
Cd: 0.471 0.778 0.450
In: 0.000 0.000 0.500
Hg: 0.529 0.471 0.750
In: 0.000 0.000 0.000
Cd: 0.823 0.177 0.250
Cd: 0.957 0.614 0.350
Hg: 0.471 0.529 0.250
Cd: 0.043 0.386 0.650

---

Computed values of calculated volume (unit: Å³/atom) for the preceding records, in sequence: 56.91, 32.76, 31.08, 27.05, 34.30, 14.53, 26.18, 24.69.
Computed values of calculated total energy (unit: eV/f.u.) for the preceding records, in sequence: -20.98, -35.75, -23.79, -54.07, -24.96, -126.72, -17.02, -7.29.